This record from Alexandria describes a relaxed GdDy2I crystal. The functional is GGA-PBE.

## Properties
Its total DFT energy (no corrections) is -6.5489 eV per atom. The value obtained for the total moment is 1.834 μB per atom. The uncorrected formation energy comes out at -0.340 eV per atom.

```
data_GdDy2I
_cell_length_a 3.7373
_cell_length_b 3.7373
_cell_length_c 31.4576
_cell_angle_alpha 90.00
_cell_angle_beta 90.00
_cell_angle_gamma 120.00
_symmetry_space_group_name_H-M 'R -3 m'
_symmetry_Int_Tables_number 166
_symmetry_space_group_name_Hall '-R 3 2"'
loop_
_atom_site_label
_atom_site_fract_x
_atom_site_fract_y
_atom_site_fract_z
Gd1 0.0000 0.0000 0.0000
Dy1 0.0000 0.0000 0.2452
I1 0.0000 0.0000 0.5000
```

=====

This record from Alexandria describes a relaxed CeCdGe2Pt2 crystal. The functional is GGA-PBE.

## Properties
Its total DFT energy (no corrections) is -5.3560 eV per atom. The calculation puts the formation energy at -0.662 eV/atom. The value obtained for the total moment is 0.059 μB per atom.

```
data_CeCdGe2Pt2
_cell_length_a 4.3454
_cell_length_b 4.3454
_cell_length_c 7.2041
_cell_angle_alpha 90.00
_cell_angle_beta 90.00
_cell_angle_gamma 120.00
_symmetry_space_group_name_H-M 'P -3 m 1'
_symmetry_Int_Tables_number 164
_symmetry_space_group_name_Hall '-P 3 2"'
loop_
_atom_site_label
_atom_site_fract_x
_atom_site_fract_y
_atom_site_fract_z
Ce1 0.0000 0.0000 0.0000
Cd1 0.0000 0.0000 0.5000
Ge1 0.3333 0.6667 0.7496
Pt1 0.3333 0.6667 0.2970
```